A relaxed AlRh crystal, computed with PBE.

Total energy   -12.656 eV/f.u.
DFT formation energy   -0.78 eV per atom
Mass density   7.6 g/cm³
Symmetry   P2/c
Calculated volume   169.82 Å³/cell

Unit cell a=6.771 b=4.884 c=5.162 alpha=90.00 beta=90.00 gamma=95.75
Atoms (fractional coordinates):
Rh 0.663 0.712 0.033
Rh 0.000 0.000 0.502
Rh 0.663 0.212 0.717
Rh 0.337 0.288 0.033
Rh 0.000 0.500 0.248
Rh 0.337 0.788 0.717
Al 0.000 0.000 0.996
Al 0.673 0.202 0.224
Al 0.327 0.298 0.526
Al 0.000 0.500 0.754
Al 0.327 0.798 0.224
Al 0.673 0.702 0.526